# PBE with a Hubbard U Sr5Ca3Ti5Mn3O24, optimized geometry
data_Sr5Ca3Ti5Mn3O24
_chemical_formula_sum 'Sr5 Ca3 Ti5 Mn3 O24'
_cell_length_a 7.764
_cell_length_b 7.778
_cell_length_c 7.790
_cell_angle_alpha 90.09
_cell_angle_beta 90.03
_cell_angle_gamma 90.10
_space_group_name_H-M_alt 'P 1'
_space_group_IT_number 1
loop_
_space_group_symop_operation_xyz
'x,y,z'
loop_
_atom_site_label
_atom_site_fract_x
_atom_site_fract_y
_atom_site_fract_z
Sr1 0.000 0.000 0.000
Sr2 0.000 0.493 0.497
Sr3 0.003 0.003 0.496
Sr4 0.500 0.508 0.509
Sr5 0.998 0.498 0.000
Ca1 0.501 0.515 0.017
Ca2 0.503 0.025 0.016
Ca3 0.505 0.018 0.523
Ti1 0.255 0.257 0.756
Ti2 0.255 0.755 0.761
Ti3 0.257 0.760 0.256
Ti4 0.749 0.760 0.257
Ti5 0.751 0.754 0.760
Mn1 0.254 0.255 0.253
Mn2 0.746 0.255 0.253
Mn3 0.748 0.254 0.755
O1 0.218 0.738 0.999
O2 0.230 0.502 0.735
O3 0.232 0.237 0.499
O4 0.234 0.007 0.230
O5 0.275 0.500 0.264
O6 0.276 0.004 0.770
O7 0.284 0.273 0.005
O8 0.286 0.776 0.498
O9 0.498 0.723 0.783
O10 0.499 0.769 0.205
O11 0.500 0.215 0.282
O12 0.502 0.270 0.725
O13 0.707 0.282 0.003
O14 0.710 0.780 0.498
O15 0.718 0.007 0.778
O16 0.725 0.500 0.269
O17 0.764 0.007 0.225
O18 0.769 0.500 0.730
O19 0.771 0.225 0.503
O20 0.777 0.735 0.999
O21 0.996 0.234 0.776
O22 0.997 0.774 0.722
O23 0.998 0.740 0.279
O24 0.999 0.273 0.227
# - DFT total energy: -7.61 eV/atom